Compound: GePPbS2
Source: Alexandria via LeMat-Bulk
Functional: PBE
Structure: relaxed

```
5
Lattice="5.578 0.000 0.000 0.000 5.578 0.000 0.000 0.000 5.422" Properties=species:S:1:pos:R:3 pbc="T T T"
Pb 0.000 0.000 0.000
P 0.000 0.000 2.711
Ge 2.789 2.789 2.711
S 0.000 2.789 0.000
S 2.789 0.000 0.000
```

Output
- E_form (uncorrected): 1.07 eV/atom
- E_tot: -16.65 eV for the cell shown
- ΔE to the lowest computed polymorph: 0.818 eV per atom